Be3VFe4 | PBE | optimized geometry

```
Be3VFe4
1.0
-1.831 -2.980 1.537
3.513 -3.331 -2.273
4.448 0.463 6.195
Fe V Be
8 2 6
Direct
0.000 0.232 0.250
0.500 0.768 0.500
0.500 0.232 0.500
0.500 0.768 0.000
0.000 0.768 0.750
0.000 0.768 0.250
0.000 0.232 0.750
0.500 0.232 0.000
0.000 0.500 0.500
0.000 0.500 0.000
0.000 0.000 0.500
0.500 0.000 0.250
0.500 0.500 0.250
0.000 0.000 0.000
0.500 0.000 0.750
0.500 0.500 0.750
```

calculated volume: 156 Å³/cell
energy: -111.2 eV/cell
ΔH_f (0 K): -17 kJ/mol of atoms
symmetry: P4/mmm

***

BeVFe2 | PBE | optimized geometry

```
BeVFe2
1.0
2.801 0.000 0.000
0.000 2.801 0.000
0.000 0.000 5.265
Fe Be V
2 1 1
Direct
0.000 0.000 0.233
0.000 0.000 0.767
0.500 0.500 0.000
0.500 0.500 0.500
```

calculated volume: 41 Å³/cell
energy: -30.6 eV/cell
ΔH_f (0 K): -20 kJ/mol of atoms
symmetry: P4/mmm

***

Be3VFe | PBE | optimized geometry

```
Be3VFe
1.0
-1.112 -3.239 -1.759
1.866 -2.079 2.648
-3.178 -0.088 2.170
Fe Be V
1 3 1
Direct
0.000 0.000 0.000
0.500 0.000 0.000
0.000 0.500 0.000
0.000 0.000 0.500
0.500 0.500 0.500
```

calculated volume: 57 Å³/cell
offset from the most stable computed form: 0.00 eV/f.u.
energy: -25.9 eV/cell
ΔH_f (0 K): 56 kJ/mol of atoms
symmetry: Pm-3m

***

Q: Among the records above, which one has the lowest energy?
A: Be3VFe4

***

Q: What is the energy in the third record?
A: -25.9 eV/cell

***

Q: Look up the ΔH_f (0 K) of the second one.
A: -20 kJ/mol of atoms